First-principles (GGA-PBEsol) data for an optimized crystal structure of InSb2Se4Br, as listed in Alexandria via LeMat-Bulk.

Properties
The value obtained for the uncorrected formation energy is -415.6 meV per atom. The calculation puts the total magnetic moment at 0.001 μB/cell. Its space group is C2/m (12). The value obtained for the total DFT energy (no corrections) is -4.09 eV/atom. As for the volume: 26.8 A^3/atom.

abc: 10.541 10.541 11.847
angles: 118.32 118.32 21.85
Fractional positions:
1 In 0.161 0.161 0.434
2 In 0.839 0.839 0.566
3 Sb 0.206 0.206 0.100
4 Sb 0.450 0.450 0.223
5 Sb 0.550 0.550 0.777
6 Sb 0.794 0.794 0.900
7 Se 0.036 0.036 0.208
8 Se 0.178 0.178 0.857
9 Se 0.286 0.286 0.658
10 Se 0.401 0.401 0.972
11 Se 0.599 0.599 0.028
12 Se 0.714 0.714 0.342
13 Se 0.822 0.822 0.143
14 Se 0.964 0.964 0.792
15 Br 0.398 0.398 0.471
16 Br 0.602 0.602 0.529

First-principles (GGA-PBEsol) data for an optimized crystal structure of TiMn2FeAu, as listed in Alexandria via LeMat-Bulk.

Properties
The calculation puts the total magnetic moment at 2.281 μB/cell. Its space group is P4/mmm (123). The value obtained for the total DFT energy (no corrections) is -7.26 eV/atom. The density of states at the Fermi level comes out at 7.114 states/eV/f.u. As for the volume: 15.9 A^3/atom.

abc: 4.104 4.104 4.730
angles: 90.00 90.00 90.00
Fractional positions:
1 Ti 0.000 0.000 0.000
2 Mn 0.000 0.500 0.500
3 Mn 0.500 0.000 0.500
4 Fe 0.500 0.500 0.500
5 Au 0.500 0.500 0.000

First-principles (GGA-PBEsol) data for an optimized crystal structure of ZnFe6Ir, as listed in Alexandria via LeMat-Bulk.

Properties
The calculation puts the total magnetic moment at 44.264 μB/cell. Its space group is Cmmm (65). The value obtained for the total DFT energy (no corrections) is -8.10 eV/atom. The density of states at the Fermi level comes out at 10.060 states/eV/f.u. As for the volume: 11.4 A^3/atom.

abc: 6.197 6.197 10.096
angles: 90.00 90.00 109.20
Fractional positions:
1 Zn 0.000 0.000 0.250
2 Zn 0.000 0.000 0.750
3 Zn 0.250 0.750 0.000
4 Zn 0.750 0.250 0.000
5 Fe 0.000 0.000 0.000
6 Fe 0.000 0.000 0.500
7 Fe 0.122 0.374 0.124
8 Fe 0.122 0.374 0.876
9 Fe 0.126 0.375 0.375
10 Fe 0.126 0.375 0.625
11 Fe 0.249 0.751 0.249
12 Fe 0.249 0.751 0.751
13 Fe 0.374 0.122 0.124
14 Fe 0.374 0.122 0.876
15 Fe 0.375 0.126 0.375
16 Fe 0.375 0.126 0.625
17 Fe 0.500 0.500 0.000
18 Fe 0.500 0.500 0.500
19 Fe 0.625 0.874 0.375
20 Fe 0.625 0.874 0.625
21 Fe 0.626 0.878 0.124
22 Fe 0.626 0.878 0.876
23 Fe 0.751 0.249 0.249
24 Fe 0.751 0.249 0.751
25 Fe 0.874 0.625 0.375
26 Fe 0.874 0.625 0.625
27 Fe 0.878 0.626 0.124
28 Fe 0.878 0.626 0.876
29 Ir 0.250 0.750 0.500
30 Ir 0.500 0.500 0.253
31 Ir 0.500 0.500 0.747
32 Ir 0.750 0.250 0.500

First-principles (GGA-PBEsol) data for an optimized crystal structure of Sr3Tc, as listed in Alexandria via LeMat-Bulk.

Properties
The calculation puts the total magnetic moment at 1.347 μB/cell. Its space group is Immm (71). The value obtained for the total DFT energy (no corrections) is -3.47 eV/atom. The density of states at the Fermi level comes out at 5.287 states/eV/f.u. As for the volume: 36.3 A^3/atom.

abc: 7.778 7.778 7.778
angles: 153.20 136.60 51.75
Fractional positions:
1 Sr 0.000 0.000 0.000
2 Sr 0.327 0.827 0.500
3 Sr 0.673 0.173 0.500
4 Tc 0.500 0.500 0.000

First-principles (GGA-PBEsol) data for an optimized crystal structure of Y5Pt, as listed in Alexandria via LeMat-Bulk.

Properties
The calculation puts the total magnetic moment at 0.001 μB/cell. Its space group is P6/mmm (191). The value obtained for the total DFT energy (no corrections) is -6.20 eV/atom. The density of states at the Fermi level comes out at 8.853 states/eV/f.u. As for the volume: 28.9 A^3/atom. For the energy relative to the lowest polymorph listed for this composition, the calculation gives 23.87 kcal/mol of atoms.

abc: 5.905 5.905 5.740
angles: 90.00 90.00 120.00
Fractional positions:
1 Y 0.000 0.500 0.000
2 Y 0.333 0.667 0.500
3 Y 0.500 0.000 0.000
4 Y 0.500 0.500 0.000
5 Y 0.667 0.333 0.500
6 Pt 0.000 0.000 0.500

First-principles (GGA-PBEsol) data for an optimized crystal structure of CuSbW2, as listed in Alexandria via LeMat-Bulk.

Properties
The value obtained for the uncorrected formation energy is 355.1 meV per atom. The calculation puts the total magnetic moment at 0.000 μB/cell. Its space group is P4mm (99). The value obtained for the total DFT energy (no corrections) is -8.77 eV/atom. The density of states at the Fermi level comes out at 2.613 states/eV/f.u. As for the volume: 16.0 A^3/atom.

abc: 3.331 3.331 5.776
angles: 90.00 90.00 90.00
Fractional positions:
1 Cu 0.000 0.000 0.000
2 Sb 0.500 0.500 0.251
3 W 0.000 0.000 0.539
4 W 0.500 0.500 0.769